YMgSn3: relaxed, PBE.

extended XYZ file:
```
20
Lattice="6.2955 0.0000 0.0000 0.0000 6.1989 0.0000 0.0000 0.0000 13.1172" Properties=species:S:1:pos:R:3 pbc="T T T"
Sn 1.5739 6.1621 3.5440
Mg 0.0000 4.6492 11.6387
Sn 0.0000 1.5497 6.5639
Y 4.7216 0.0221 4.0925
Sn 4.7216 4.9665 1.0886
Sn 4.7216 1.8670 12.0286
Sn 3.1478 4.6492 6.5533
Sn 4.7216 0.0368 9.5732
Sn 4.7216 3.1362 3.5440
Sn 0.0000 4.6492 6.5533
Y 4.7216 3.1215 9.0247
Sn 1.5739 3.0627 9.5732
Mg 3.1478 4.6492 11.6387
Mg 3.1478 1.5497 1.4785
Y 1.5739 6.1768 9.0247
Mg 0.0000 1.5497 1.4785
Y 1.5739 3.0774 4.0925
Sn 3.1478 1.5497 6.5639
Sn 1.5739 1.2324 12.0286
Sn 1.5739 4.3319 1.0886
```

The value obtained for the total magnetic moment is 0.0 μB per cell. As for the formation energy: -0.39 eV/atom. The space group is Pbcm. The calculation puts the distance to the lowest polymorph of the same formula at 0 meV per atom. For the total DFT energy (no corrections), the calculation gives -4.4081 eV/atom. The calculation puts the density of states at the Fermi level at 1.9 states/eV/f.u.

---

SiAg3W: relaxed, PBE.

extended XYZ file:
```
5
Lattice="-0.3590 -0.1104 5.0531 -3.8545 -3.2709 -0.3454 3.2694 -3.8684 0.1478" Properties=species:S:1:pos:R:3 pbc="T T T"
W 0.0000 0.0000 0.0000
Ag -0.1795 -0.0552 2.5266
Ag -1.9273 -1.6354 -0.1727
Si -0.4721 -3.6248 2.4278
Ag 1.6347 -1.9342 0.0739
```

The value obtained for the total magnetic moment is 0.0 μB per cell. The space group is Pm-3m. For the total DFT energy (no corrections), the calculation gives -3.4032 eV/atom. The calculation puts the density of states at the Fermi level at 6.6 states/eV/f.u.

---

KNa3Te2: relaxed, PBE.

extended XYZ file:
```
18
Lattice="-2.5633 4.1952 -0.2052 -3.3042 -4.4726 8.8314 9.9138 6.2507 3.9540" Properties=species:S:1:pos:R:3 pbc="T T T"
Te 6.2310 6.8743 3.7098
Te -0.4019 -0.0552 3.8917
Na 1.9378 1.4447 5.3316
Na 2.1086 4.5286 7.2487
Na -0.3011 2.8397 2.8206
Te 1.9643 1.6090 8.3595
Te 4.4483 6.0285 8.6886
K 5.6134 3.7013 5.5505
Na 4.3475 3.1336 9.7597
Na 6.6983 7.3114 6.8101
Na 3.6753 5.2230 1.8744
Te 2.0821 4.3643 4.2207
Te -2.1846 -0.9010 8.8705
Na 1.2862 4.1856 10.5108
K 0.0000 0.0000 0.0000
Na -2.6519 -1.3381 5.7702
K -1.5670 2.2720 7.0298
Na 2.7602 1.7877 2.0695
```

The value obtained for the total magnetic moment is 0.0 μB per cell. The space group is C2/m. The calculation puts the distance to the lowest polymorph of the same formula at 0 meV per atom. For the total DFT energy (no corrections), the calculation gives -2.8001 eV/atom.

---

Hf3Sc2PaN6: relaxed, PBE.

extended XYZ file:
```
12
Lattice="3.2486 0.0000 0.0000 0.0000 6.5618 0.2258 -1.6243 -1.8989 6.8428" Properties=species:S:1:pos:R:3 pbc="T T T"
Hf 0.0000 4.8029 2.5226
N 0.0000 4.7722 4.7140
Sc 1.6243 3.0798 4.6501
Sc 0.0000 1.5831 2.4184
N 0.0000 1.4445 4.6586
N 1.6243 3.2184 2.4099
N 1.6243 -0.1093 2.3546
N 0.0000 4.8124 0.1755
N 1.6243 -0.1495 6.8931
Hf 1.6243 3.2809 0.1129
Pa 1.6243 0.0000 0.0000
Hf 1.6243 -0.1400 4.5460
```

The value obtained for the total magnetic moment is 0.0 μB per cell. The space group is C2/m. For the total DFT energy (no corrections), the calculation gives -10.3052 eV/atom. The calculation puts the density of states at the Fermi level at 3.7 states/eV/f.u.

---

Tb2GaCl: relaxed, PBE.

extended XYZ file:
```
4
Lattice="3.3891 0.0000 0.0000 0.0000 3.3891 0.0000 0.0000 0.0000 8.0087" Properties=species:S:1:pos:R:3 pbc="T T T"
Tb 0.0000 0.0000 6.1533
Tb 0.0000 0.0000 1.8554
Ga 1.6946 1.6946 0.0000
Cl 1.6946 1.6946 4.0044
```

The value obtained for the total magnetic moment is 0.0 μB per cell. The space group is P4/mmm. The calculation puts the distance to the lowest polymorph of the same formula at 59 meV per atom. For the total DFT energy (no corrections), the calculation gives -4.3935 eV/atom. The calculation puts the density of states at the Fermi level at 2.5 states/eV/f.u.

---

B2PbBr: relaxed, PBE.

extended XYZ file:
```
4
Lattice="0.0000 3.3267 3.3267 3.3267 0.0000 3.3267 3.3267 3.3267 0.0000" Properties=species:S:1:pos:R:3 pbc="T T T"
B 4.9900 4.9900 4.9900
Pb 3.3267 3.3267 3.3267
B 1.6633 1.6633 1.6633
Br 0.0000 0.0000 0.0000
```

The value obtained for the total magnetic moment is 0.0 μB per cell. The space group is Fm-3m. The calculation puts the distance to the lowest polymorph of the same formula at 418 meV per atom. For the total DFT energy (no corrections), the calculation gives -2.8297 eV/atom. The calculation puts the density of states at the Fermi level at 1.9 states/eV/f.u.

---

TiFeCuSi: relaxed, PBE.

extended XYZ file:
```
4
Lattice="-1.4651 -1.2741 3.6334 0.5078 -3.9184 1.1662 2.5991 -0.9175 3.0618" Properties=species:S:1:pos:R:3 pbc="T T T"
Ti 0.4104 -1.5275 1.9654
Fe 0.0000 0.0000 0.0000
Si 1.2313 -4.5825 5.8961
Cu 0.8209 -3.0550 3.9307
```

The value obtained for the total magnetic moment is 0.8 μB per cell. The space group is F-43m. For the total DFT energy (no corrections), the calculation gives -6.8044 eV/atom. The calculation puts the density of states at the Fermi level at 3.1 states/eV/f.u.

---

KSrHgS2: relaxed, PBE.

extended XYZ file:
```
10
Lattice="6.7995 0.0000 0.0000 0.0000 6.1753 0.8349 0.0000 -1.0828 8.0200" Properties=species:S:1:pos:R:3 pbc="T T T"
Hg 0.0000 -0.5414 4.0100
S 2.0764 0.5780 8.2442
Sr 3.3996 -0.2707 2.0050
S 4.7230 1.1194 4.2342
S 4.7230 4.5145 0.6107
S 2.0764 3.9731 4.6208
K 6.7992 2.8169 2.4225
K 0.0003 2.2755 6.4325
Hg 0.0000 0.0000 0.0000
Sr 3.3999 -0.8121 6.0150
```

The value obtained for the total magnetic moment is 0.0 μB per cell. The space group is Pccm. The calculation puts the distance to the lowest polymorph of the same formula at 0 meV per atom. For the total DFT energy (no corrections), the calculation gives -3.2079 eV/atom. The calculation puts the density of states at the Fermi level at 2.2 states/eV/f.u.